1.
VASP calculation (GGA-PBE) on crystalline CsSbSN2 at its relaxed geometry.

Summary:
For the formation energy from raw total energies, the calculation gives 2.24 eV/atom. As for the energy above the lowest structure with this stoichiometry: 1341.5 meV per atom.

extended XYZ file:
```
5
Lattice="4.278 0.000 0.000 0.000 4.278 0.000 0.000 0.000 6.232" Properties=species:S:1:pos:R:3 pbc="T T T"
Cs 0.000 0.000 0.000
Sb 2.139 2.139 3.116
S 0.000 0.000 3.116
N 0.000 2.139 0.000
N 2.139 0.000 0.000
```

2.
VASP calculation (GGA-PBE) on crystalline CsSbS2N at its relaxed geometry.

Summary:
For the formation energy from raw total energies, the calculation gives 0.30 eV/atom. As for the energy above the lowest structure with this stoichiometry: 0.0 meV per atom.

extended XYZ file:
```
5
Lattice="5.274 0.000 0.000 0.000 5.274 0.000 0.000 0.000 4.383" Properties=species:S:1:pos:R:3 pbc="T T T"
Cs 0.000 0.000 0.000
Sb 2.637 2.637 2.191
S 0.000 2.637 2.191
S 2.637 0.000 2.191
N 2.637 2.637 0.000
```

3.
VASP calculation (GGA-PBE) on crystalline CsScSN2 at its relaxed geometry.

Summary:
For the formation energy from raw total energies, the calculation gives 1.71 eV/atom.

extended XYZ file:
```
5
Lattice="4.196 0.000 0.000 0.000 4.196 0.000 0.000 0.000 6.074" Properties=species:S:1:pos:R:3 pbc="T T T"
Cs 0.000 0.000 0.000
Sc 2.098 2.098 3.037
S 0.000 0.000 3.037
N 0.000 2.098 0.000
N 2.098 0.000 0.000
```

4.
VASP calculation (GGA-PBE) on crystalline CsSeS2N at its relaxed geometry.

Summary:
For the formation energy from raw total energies, the calculation gives 0.66 eV/atom. As for the energy above the lowest structure with this stoichiometry: 0.0 meV per atom.

extended XYZ file:
```
5
Lattice="5.091 0.000 0.000 0.000 5.091 0.000 0.000 0.000 4.569" Properties=species:S:1:pos:R:3 pbc="T T T"
Cs 0.000 0.000 0.000
Se 2.545 2.545 2.285
S 0.000 2.545 2.285
S 2.545 0.000 2.285
N 2.545 2.545 0.000
```

5.
VASP calculation (GGA-PBE) on crystalline CsSeS2N at its relaxed geometry.

Summary:
For the formation energy from raw total energies, the calculation gives 2.21 eV/atom. As for the energy above the lowest structure with this stoichiometry: 1552.0 meV per atom.

extended XYZ file:
```
5
Lattice="5.646 0.000 0.000 0.000 5.646 0.000 0.000 0.000 4.325" Properties=species:S:1:pos:R:3 pbc="T T T"
Cs 0.000 0.000 0.000
Se 2.823 2.823 2.162
S 0.000 2.823 0.000
S 2.823 0.000 0.000
N 0.000 0.000 2.162
```

6.
VASP calculation (GGA-PBE) on crystalline CsSeSN2 at its relaxed geometry.

Summary:
For the formation energy from raw total energies, the calculation gives 2.54 eV/atom. As for the energy above the lowest structure with this stoichiometry: 0.0 meV per atom.

extended XYZ file:
```
5
Lattice="4.210 0.000 0.000 0.000 4.210 0.000 0.000 0.000 7.037" Properties=species:S:1:pos:R:3 pbc="T T T"
Cs 0.000 0.000 0.000
Se 2.105 2.105 3.519
S 0.000 0.000 3.519
N 0.000 2.105 0.000
N 2.105 0.000 0.000
```